Here is a relaxed Hf3Ni7 crystal from Alexandria via LeMat-Bulk. Energies are from PBE. Values from VASP.

The structure in Quantum ESPRESSO input format:
```
&SYSTEM
  ibrav = 0, nat = 20, ntyp = 2
/
ATOMIC_SPECIES
Hf 178.49 Hf.upf
Ni 58.69 Ni.upf
ATOMIC_POSITIONS crystal
Hf 0.000 0.227 0.369
Hf 0.000 0.773 0.631
Hf 0.342 0.475 0.124
Hf 0.401 0.045 0.278
Hf 0.599 0.955 0.722
Hf 0.658 0.525 0.876
Ni 0.000 0.000 0.000
Ni 0.055 0.200 0.765
Ni 0.117 0.676 0.956
Ni 0.222 0.673 0.393
Ni 0.271 0.563 0.714
Ni 0.319 0.141 0.594
Ni 0.394 0.117 0.941
Ni 0.500 0.500 0.500
Ni 0.606 0.883 0.059
Ni 0.681 0.859 0.406
Ni 0.729 0.437 0.286
Ni 0.778 0.327 0.607
Ni 0.883 0.324 0.044
Ni 0.945 0.800 0.235
CELL_PARAMETERS angstrom
6.510 0.000 0.000
-2.528 6.074 0.000
-1.925 -2.628 6.903
```

Values from the calculation:
**Calculated total energy**: -7.534 eV/atom
**Energy relative to the elements**: -5.0 eV per formula unit


Here is a relaxed LuPuOs4 crystal from Alexandria via LeMat-Bulk. Energies are from PBE. Values from VASP.

The structure in Quantum ESPRESSO input format:
```
&SYSTEM
  ibrav = 0, nat = 6, ntyp = 3
/
ATOMIC_SPECIES
Lu 174.97 Lu.upf
Pu 244.00 Pu.upf
Os 190.23 Os.upf
ATOMIC_POSITIONS crystal
Lu 0.000 0.000 0.000
Pu 0.250 0.250 0.250
Os 0.125 0.625 0.625
Os 0.625 0.125 0.625
Os 0.625 0.625 0.125
Os 0.625 0.625 0.625
CELL_PARAMETERS angstrom
0.000 3.767 3.767
3.767 0.000 3.767
3.767 3.767 0.000
```

Values from the calculation:
**Calculated total energy**: -10.853 eV/atom
**Energy relative to the elements**: -1.3 eV per formula unit


Here is a relaxed RePPb2 crystal from Alexandria via LeMat-Bulk. Energies are from PBE. Values from VASP.

The structure in Quantum ESPRESSO input format:
```
&SYSTEM
  ibrav = 0, nat = 4, ntyp = 3
/
ATOMIC_SPECIES
Re 186.21 Re.upf
P 30.97 P.upf
Pb 207.20 Pb.upf
ATOMIC_POSITIONS crystal
Re 0.000 0.000 0.000
P 0.299 0.299 0.004
Pb 0.557 0.557 0.700
Pb 0.717 0.717 0.306
CELL_PARAMETERS angstrom
4.015 -1.677 0.000
4.015 1.677 0.000
-2.298 0.000 7.263
```

Values from the calculation:
**Calculated total energy**: -6.159 eV/atom
**Energy relative to the elements**: 0.6 eV per formula unit


Here is a relaxed Ca2SiPPt6 crystal from Alexandria via LeMat-Bulk. Energies are from PBE. Values from VASP.

The structure in Quantum ESPRESSO input format:
```
&SYSTEM
  ibrav = 0, nat = 20, ntyp = 4
/
ATOMIC_SPECIES
Ca 40.08 Ca.upf
Si 28.09 Si.upf
P 30.97 P.upf
Pt 195.08 Pt.upf
ATOMIC_POSITIONS crystal
Ca 0.250 0.011 0.224
Ca 0.250 0.489 0.224
Ca 0.750 0.511 0.776
Ca 0.750 0.989 0.776
Si 0.250 0.750 0.765
Si 0.750 0.250 0.235
P 0.250 0.250 0.752
P 0.750 0.750 0.248
Pt 0.003 0.750 0.504
Pt 0.006 0.750 0.015
Pt 0.250 0.002 0.627
Pt 0.250 0.498 0.627
Pt 0.494 0.750 0.015
Pt 0.497 0.750 0.504
Pt 0.503 0.250 0.496
Pt 0.506 0.250 0.985
Pt 0.750 0.502 0.373
Pt 0.750 0.998 0.373
Pt 0.994 0.250 0.985
Pt 0.997 0.250 0.496
CELL_PARAMETERS angstrom
5.626 0.000 0.000
0.000 8.587 0.000
0.000 0.000 7.895
```

Values from the calculation:
**Calculated total energy**: -5.946 eV/atom
**Formation energy from raw total energies**: -0.84 eV/atom


Here is a relaxed NiSbRu crystal from Alexandria via LeMat-Bulk. Energies are from PBE. Values from VASP.

The structure in Quantum ESPRESSO input format:
```
&SYSTEM
  ibrav = 0, nat = 3, ntyp = 3
/
ATOMIC_SPECIES
Ni 58.69 Ni.upf
Sb 121.76 Sb.upf
Ru 101.07 Ru.upf
ATOMIC_POSITIONS crystal
Ni 0.000 0.000 0.000
Sb 0.348 0.348 0.000
Ru 0.678 0.678 0.000
CELL_PARAMETERS angstrom
-1.624 1.624 4.335
1.624 -1.624 4.335
1.624 1.624 -4.335
```

Values from the calculation:
**Calculated total energy**: -6.234 eV/atom
**Formation energy from raw total energies**: 0.16 eV/atom
**Energy above the lowest structure with this stoichiometry**: 0.0544 eV/atom


Here is a relaxed LiSn2Pb2 crystal from Alexandria via LeMat-Bulk. Energies are from PBE. Values from VASP.

The structure in Quantum ESPRESSO input format:
```
&SYSTEM
  ibrav = 0, nat = 5, ntyp = 3
/
ATOMIC_SPECIES
Li 6.94 Li.upf
Sn 118.71 Sn.upf
Pb 207.20 Pb.upf
ATOMIC_POSITIONS crystal
Li 0.000 0.000 0.000
Sn 0.412 0.412 0.406
Sn 0.588 0.588 0.594
Pb 0.187 0.187 0.204
Pb 0.813 0.813 0.796
CELL_PARAMETERS angstrom
8.808 -2.265 0.000
8.808 2.265 0.000
-0.594 0.000 3.430
```

Values from the calculation:
**Calculated total energy**: -3.559 eV/atom
**Energy relative to the elements**: -0.5 eV per formula unit
**Energy above the lowest structure with this stoichiometry**: 0.0000 eV/atom


Here is a relaxed B2Cl2F7 crystal from Alexandria via LeMat-Bulk. Energies are from PBE. Values from VASP.

The structure in Quantum ESPRESSO input format:
```
&SYSTEM
  ibrav = 0, nat = 11, ntyp = 3
/
ATOMIC_SPECIES
B 10.81 B.upf
Cl 35.45 Cl.upf
F 19.00 F.upf
ATOMIC_POSITIONS crystal
B 0.181 0.181 0.309
B 0.819 0.819 0.691
Cl 0.339 0.661 0.500
Cl 0.661 0.339 0.500
F 0.010 0.391 0.210
F 0.141 0.141 0.507
F 0.391 0.010 0.210
F 0.500 0.500 0.000
F 0.609 0.990 0.790
F 0.859 0.859 0.493
F 0.990 0.609 0.790
CELL_PARAMETERS angstrom
9.005 -3.025 0.000
9.005 3.025 0.000
-1.245 0.000 4.681
```

Values from the calculation:
**Calculated total energy**: -4.710 eV/atom
**Formation energy from raw total energies**: -1.97 eV/atom


Here is a relaxed AcMg2Al4 crystal from Alexandria via LeMat-Bulk. Energies are from PBE. Values from VASP.

The structure in Quantum ESPRESSO input format:
```
&SYSTEM
  ibrav = 0, nat = 14, ntyp = 3
/
ATOMIC_SPECIES
Ac 227.00 Ac.upf
Mg 24.30 Mg.upf
Al 26.98 Al.upf
ATOMIC_POSITIONS crystal
Ac 0.245 0.755 0.750
Ac 0.755 0.245 0.250
Mg 0.298 0.320 0.412
Mg 0.320 0.298 0.912
Mg 0.680 0.702 0.088
Mg 0.702 0.680 0.588
Al 0.160 0.166 0.086
Al 0.166 0.160 0.586
Al 0.176 0.666 0.210
Al 0.334 0.824 0.290
Al 0.666 0.176 0.710
Al 0.824 0.334 0.790
Al 0.834 0.840 0.414
Al 0.840 0.834 0.914
CELL_PARAMETERS angstrom
8.493 -3.196 0.000
8.493 3.196 0.000
-1.142 0.000 6.086
```

Values from the calculation:
**Calculated total energy**: -3.347 eV/atom
**Energy relative to the elements**: -1.2 eV per formula unit


Here is a relaxed Pt2AuSe crystal from Alexandria via LeMat-Bulk. Energies are from PBE. Values from VASP.

The structure in Quantum ESPRESSO input format:
```
&SYSTEM
  ibrav = 0, nat = 8, ntyp = 3
/
ATOMIC_SPECIES
Pt 195.08 Pt.upf
Au 196.97 Au.upf
Se 78.96 Se.upf
ATOMIC_POSITIONS crystal
Pt 0.098 0.625 0.973
Pt 0.375 0.348 0.473
Pt 0.652 0.125 0.027
Pt 0.875 0.902 0.527
Au 0.250 0.750 0.500
Au 0.500 0.500 0.000
Se 0.000 0.000 0.000
Se 0.750 0.250 0.500
CELL_PARAMETERS angstrom
-3.643 3.643 2.732
3.643 -3.643 2.732
3.643 3.643 -2.732
```

Values from the calculation:
**Calculated total energy**: -4.529 eV/atom
**Formation energy from raw total energies**: 0.18 eV/atom


Here is a relaxed KSrPa4N8 crystal from Alexandria via LeMat-Bulk. Energies are from PBE. Values from VASP.

The structure in Quantum ESPRESSO input format:
```
&SYSTEM
  ibrav = 0, nat = 14, ntyp = 4
/
ATOMIC_SPECIES
K 39.10 K.upf
Sr 87.62 Sr.upf
Pa 231.04 Pa.upf
N 14.01 N.upf
ATOMIC_POSITIONS crystal
K 0.000 0.000 0.000
Sr 0.388 0.388 0.388
Pa 0.007 0.007 0.494
Pa 0.007 0.494 0.007
Pa 0.494 0.007 0.007
Pa 0.620 0.620 0.620
N 0.235 0.235 0.235
N 0.247 0.730 0.730
N 0.258 0.258 0.819
N 0.258 0.819 0.258
N 0.730 0.247 0.730
N 0.730 0.730 0.247
N 0.756 0.756 0.756
N 0.819 0.258 0.258
CELL_PARAMETERS angstrom
3.574 2.063 5.720
-3.574 2.063 5.720
0.000 -4.127 5.720
```

Values from the calculation:
**Calculated total energy**: -8.834 eV/atom
**Formation energy from raw total energies**: -1.16 eV/atom


Here is a relaxed Tb6Te3CS2 crystal from Alexandria via LeMat-Bulk. Energies are from PBE. Values from VASP.

The structure in Quantum ESPRESSO input format:
```
&SYSTEM
  ibrav = 0, nat = 12, ntyp = 4
/
ATOMIC_SPECIES
Tb 158.93 Tb.upf
Te 127.60 Te.upf
C 12.01 C.upf
S 32.06 S.upf
ATOMIC_POSITIONS crystal
Tb 0.066 0.373 0.198
Tb 0.239 0.239 0.797
Tb 0.373 0.066 0.198
Tb 0.627 0.934 0.802
Tb 0.761 0.761 0.203
Tb 0.934 0.627 0.802
Te 0.174 0.826 0.500
Te 0.500 0.500 0.500
Te 0.826 0.174 0.500
C 0.000 0.000 0.000
S 0.334 0.666 0.000
S 0.666 0.334 0.000
CELL_PARAMETERS angstrom
3.487 -6.033 0.000
3.487 6.033 0.000
-2.313 0.000 6.991
```

Values from the calculation:
**Calculated total energy**: -6.008 eV/atom
**Formation energy from raw total energies**: -1.45 eV/atom


Here is a relaxed MnOsRu2 crystal from Alexandria via LeMat-Bulk. Energies are from PBE. Values from VASP.

The structure in Quantum ESPRESSO input format:
```
&SYSTEM
  ibrav = 0, nat = 4, ntyp = 3
/
ATOMIC_SPECIES
Mn 54.94 Mn.upf
Os 190.23 Os.upf
Ru 101.07 Ru.upf
ATOMIC_POSITIONS crystal
Mn 0.000 0.000 0.000
Os 0.500 0.500 0.000
Ru 0.000 0.500 0.500
Ru 0.500 0.000 0.500
CELL_PARAMETERS angstrom
4.506 0.000 0.000
0.000 4.506 0.000
0.000 0.000 2.802
```

Values from the calculation:
**Calculated total energy**: -9.393 eV/atom
**Energy relative to the elements**: 1.4 eV per formula unit
**Energy above the lowest structure with this stoichiometry**: 0.2670 eV/atom